(1)
A plane-wave DFT calculation with PBEsol was carried out for a relaxed LaY crystal.

ΔE to the lowest computed polymorph in meV per atom: 31
Formation energy from the elements in meV/atom: 31

a b c (Å): 3.5914 3.5914 17.6248
angles (deg): 84.15 84.15 60.00
Sites, in units of the cell vectors:
Y 0.3879 0.3879 0.8363
Y 0.0017 0.0017 0.9948
Y 0.4994 0.4994 0.5018
La 0.6127 0.6127 0.1619
La 0.1105 0.1105 0.6686
La 0.8878 0.8878 0.3367

=====

(2)
A plane-wave DFT calculation with PBEsol was carried out for a relaxed ReRh7 crystal.

ΔE to the lowest computed polymorph in meV per atom: 36
Formation energy from the elements in meV/atom: -34

a b c (Å): 5.3520 5.3520 5.3520
angles (deg): 60.00 60.00 60.00
Sites, in units of the cell vectors:
Re 0.0000 0.0000 0.0000
Rh 0.5000 0.0000 0.0000
Rh 0.5000 0.5000 0.0000
Rh 0.0000 0.5000 0.0000
Rh 0.5000 0.0000 0.5000
Rh 0.0000 0.0000 0.5000
Rh 0.0000 0.5000 0.5000
Rh 0.5000 0.5000 0.5000

=====

(3)
A plane-wave DFT calculation with PBEsol was carried out for a relaxed MgTa2W crystal.

Formation energy from the elements in meV/atom: 436

a b c (Å): 4.5970 4.5970 4.5970
angles (deg): 60.00 60.00 60.00
Sites, in units of the cell vectors:
Mg 0.5000 0.5000 0.5000
Ta 0.0000 0.0000 0.0000
Ta 0.7500 0.7500 0.7500
W 0.2500 0.2500 0.2500

=====

(4)
A plane-wave DFT calculation with PBEsol was carried out for a relaxed Ta2TcBr crystal.

ΔE_f (raw) in eV per formula unit: 2.1
ΔE to the lowest computed polymorph in meV per atom: 289

a b c (Å): 3.1554 4.5782 5.3341
angles (deg): 115.41 107.20 90.00
Sites, in units of the cell vectors:
Tc 0.5000 0.0000 0.0000
Br 0.0000 0.5000 0.0000
Ta 0.7518 0.7518 0.5036
Ta 0.2482 0.2482 0.4964